[1]
Ce4IrPb2: relaxed, PBE.

## Properties
Crystal system ... monoclinic
Uncorrected energy ... -6.135 eV/atom

abc: 6.403 6.525 10.759
angles: 90.00 115.85 90.00
Site moments in Bohr magnetons follow the coordinates.
Sites, in units of the cell vectors:
Ir 0.852 0.250 0.835  -0.07
Ir 0.148 0.750 0.165  -0.07
Pb 0.763 0.750 0.560  -0.03
Pb 0.343 0.250 0.954  -0.01
Pb 0.237 0.250 0.440  -0.03
Pb 0.657 0.750 0.046  -0.01
Ce 0.487 0.531 0.731  0.70
Ce 0.090 0.750 0.391  0.71
Ce 0.487 0.969 0.731  0.70
Ce 0.513 0.469 0.269  0.70
Ce 0.513 0.031 0.269  0.70
Ce 0.910 0.250 0.609  0.71
Ce 0.922 0.250 0.097  0.71
Ce 0.078 0.750 0.903  0.71

***

[2]
Ce6Ir3Pb: relaxed, PBE.

## Properties
Crystal system ... orthorhombic
Uncorrected energy ... -7.086 eV/atom

abc: 6.980 8.847 8.847
angles: 102.45 90.00 90.00
Site moments in Bohr magnetons follow the coordinates.
Sites, in units of the cell vectors:
Ce 0.764 0.481 0.090  0.41
Ce 0.228 0.006 0.994  0.23
Ce 0.764 0.910 0.519  0.41
Ce 0.204 0.722 0.599  0.34
Ce 0.487 0.231 0.769  0.25
Ce 0.704 0.599 0.722  0.34
Ce 0.264 0.090 0.481  0.41
Ce 0.204 0.401 0.278  0.34
Ce 0.264 0.519 0.910  0.41
Ce 0.728 0.994 0.006  0.23
Ce 0.987 0.769 0.231  0.25
Ce 0.704 0.278 0.401  0.34
Pb 0.964 0.225 0.775  -0.02
Pb 0.464 0.775 0.225  -0.02
Ir 0.489 0.903 0.742  -0.03
Ir 0.989 0.097 0.258  -0.03
Ir 0.989 0.742 0.903  -0.03
Ir 0.489 0.258 0.097  -0.03
Ir 0.392 0.429 0.571  -0.03
Ir 0.892 0.571 0.429  -0.03

***

[3]
CeIr4Pb: relaxed, PBE.

## Properties
Crystal system ... cubic
Uncorrected energy ... -7.850 eV/atom

abc: 5.395 5.395 5.395
angles: 60.00 60.00 60.00
Sites, in units of the cell vectors:
Ce 0.000 0.000 0.000
Ir 0.624 0.624 0.127
Ir 0.127 0.624 0.624
Ir 0.624 0.127 0.624
Ir 0.624 0.624 0.624
Pb 0.250 0.250 0.250

***

[4]
Ce3Ir3Pb: relaxed, PBE.

## Properties
Crystal system ... trigonal
Uncorrected energy ... -7.387 eV/atom

abc: 8.698 8.698 7.360
angles: 53.78 53.78 60.00
Sites, in units of the cell vectors:
Ce 0.109 0.800 0.711
Ce 0.891 0.200 0.289
Ce 0.620 0.891 0.289
Ce 0.800 0.380 0.711
Ce 0.380 0.109 0.711
Ce 0.200 0.620 0.289
Ir 0.555 0.287 0.222
Ir 0.713 0.065 0.778
Ir 0.935 0.555 0.222
Ir 0.287 0.935 0.222
Ir 0.445 0.713 0.778
Ir 0.065 0.445 0.778
Pb 0.331 0.331 0.008
Pb 0.669 0.669 0.992

***

[5]
Ce5IrPb2: relaxed, PBE.

## Properties
Polymorph energy (0 for the lowest one) ... 0.0000 eV per atom
Crystal system ... orthorhombic
Uncorrected energy ... -6.197 eV/atom

abc: 4.719 7.999 12.477
angles: 90.00 90.00 90.00
Site moments in Bohr magnetons follow the coordinates.
Sites, in units of the cell vectors:
Pb 0.500 0.086 0.324  -0.03
Pb 0.500 0.586 0.176  -0.03
Pb 0.500 0.914 0.676  -0.03
Pb 0.500 0.414 0.824  -0.03
Ce 0.000 0.500 0.000  0.94
Ce 0.000 0.629 0.700  0.71
Ce 0.500 0.800 0.940  0.81
Ce 0.500 0.200 0.060  0.81
Ce 0.500 0.700 0.440  0.81
Ce 0.000 0.129 0.800  0.71
Ce 0.500 0.300 0.560  0.81
Ce 0.000 0.000 0.500  0.94
Ce 0.000 0.371 0.300  0.71
Ce 0.000 0.871 0.200  0.71
Ir 0.000 0.500 0.500  -0.07
Ir 0.000 0.000 0.000  -0.07

***

[6]
CePmIrPb: relaxed, PBE.

## Properties
Crystal system ... cubic
Uncorrected energy ... -6.157 eV/atom

abc: 5.261 5.261 5.261
angles: 60.00 60.00 60.00
Site moments in Bohr magnetons follow the coordinates.
Sites, in units of the cell vectors:
Ir 0.000 0.000 0.000  -0.09
Pm 0.750 0.750 0.750  0.03
Pb 0.500 0.500 0.500  -0.01
Ce 0.250 0.250 0.250  0.63

***

Short version: formation energy from the elements = -2.9; -5.0; -2.0; -3.6; -3.6; -1.4 eV per formula unit, in the order given.